! LiSm2Tl8 (PBE-GGA, relaxed); values from VASP
&SYSTEM
  ibrav = 0, nat = 11, ntyp = 3
/
ATOMIC_SPECIES
Tl 204.38 Tl.upf
Sm 150.36 Sm.upf
Li 6.94 Li.upf
ATOMIC_POSITIONS angstrom
Tl -0.920 -2.097 4.701
Tl 2.209 -2.188 6.015
Tl -1.651 0.236 2.390
Tl 0.092 0.407 6.758
Tl 0.839 -1.924 9.110
Tl 3.952 -2.017 10.383
Tl 0.466 -2.359 1.647
Tl 1.835 0.578 11.126
Sm 3.220 0.316 8.070
Sm 1.463 0.144 3.665
Li 0.000 0.000 0.000
CELL_PARAMETERS angstrom
-4.499 0.354 1.781
-0.264 -4.835 0.295
4.683 0.460 11.735
! calculated total energy	-2.98	eV per atom
! symmetry	P4/mmm, No. 123

=====

! Li4Sm5Tl4 (PBE-GGA, relaxed); values from VASP
&SYSTEM
  ibrav = 0, nat = 13, ntyp = 3
/
ATOMIC_SPECIES
Tl 204.38 Tl.upf
Sm 150.36 Sm.upf
Li 6.94 Li.upf
ATOMIC_POSITIONS angstrom
Tl 0.821 1.726 6.270
Tl 4.112 2.698 2.826
Tl 6.141 6.847 4.345
Tl 2.850 5.875 7.789
Sm 4.374 5.706 1.795
Sm 5.399 7.912 7.261
Sm 1.562 0.661 3.355
Sm 0.000 0.000 0.000
Sm 2.588 2.867 8.821
Li 5.388 4.570 7.305
Li 3.551 5.752 5.033
Li 1.573 4.003 3.311
Li 3.411 2.821 5.582
CELL_PARAMETERS angstrom
4.537 0.000 1.154
2.269 8.573 0.577
0.156 0.000 8.885
! calculated total energy	-3.39	eV per atom
! symmetry	I4/m, No. 87

=====

! LiSm12Tl6 (PBE-GGA, relaxed); values from VASP
&SYSTEM
  ibrav = 0, nat = 19, ntyp = 3
/
ATOMIC_SPECIES
Sm 150.36 Sm.upf
Tl 204.38 Tl.upf
Li 6.94 Li.upf
ATOMIC_POSITIONS angstrom
Sm -2.157 -5.894 0.551
Sm 0.641 -5.886 -2.156
Sm 0.238 -2.664 1.897
Sm 1.801 -11.759 0.761
Sm 2.214 -8.539 -0.537
Sm -0.181 -11.769 -1.884
Sm 1.586 -5.879 1.621
Sm -1.480 -11.772 1.155
Sm -0.584 -8.547 2.169
Sm 1.537 -2.661 -1.142
Sm -1.529 -8.555 -1.608
Sm -1.744 -2.674 -0.748
Tl 2.701 -8.967 2.672
Tl -2.644 -5.466 -2.659
Tl -0.953 -5.453 3.645
Tl 1.010 -8.980 -3.632
Tl 3.661 -5.439 -0.971
Tl -3.604 -8.994 0.985
Li 0.000 0.000 0.000
CELL_PARAMETERS angstrom
-5.675 -4.837 -3.545
5.940 -4.791 -3.152
-0.208 -4.806 6.711
! calculated total energy	-3.97	eV per atom
! symmetry	R-3, No. 148

=====

! Li3Sm2Tl4 (PBE-GGA, relaxed); values from VASP
&SYSTEM
  ibrav = 0, nat = 18, ntyp = 3
/
ATOMIC_SPECIES
Li 6.94 Li.upf
Sm 150.36 Sm.upf
Tl 204.38 Tl.upf
ATOMIC_POSITIONS angstrom
Li 4.910 2.019 3.700
Li 1.637 2.019 3.700
Li 0.000 0.000 0.000
Li 3.273 4.037 0.000
Li 1.637 6.056 4.460
Li -1.637 6.056 4.460
Sm 0.000 0.650 6.316
Sm 0.000 4.687 1.843
Sm 3.273 7.424 1.843
Sm 3.273 3.387 6.316
Tl 0.000 7.820 2.840
Tl 0.000 3.783 5.319
Tl 1.637 2.019 0.811
Tl -1.637 6.056 7.348
Tl 3.273 0.254 5.319
Tl 1.637 6.056 7.348
Tl 4.910 2.019 0.811
Tl 3.273 4.291 2.840
CELL_PARAMETERS angstrom
6.546 0.000 0.000
0.000 8.074 0.000
-3.273 0.000 8.159
! symmetry	Cmce, No. 64
! polymorph energy (0 for the lowest one)	9	meV/atom

=====

! LiSmTl5 (PBE-GGA, relaxed); values from VASP
&SYSTEM
  ibrav = 0, nat = 7, ntyp = 3
/
ATOMIC_SPECIES
Sm 150.36 Sm.upf
Li 6.94 Li.upf
Tl 204.38 Tl.upf
ATOMIC_POSITIONS angstrom
Sm 1.587 -2.143 3.224
Li -0.803 -2.883 -1.521
Tl 0.641 -4.854 5.158
Tl 0.784 -5.026 1.703
Tl 3.641 -4.896 3.654
Tl -1.271 -2.273 1.274
Tl 1.730 -2.315 -0.230
CELL_PARAMETERS angstrom
-3.803 -2.841 -0.016
2.197 -2.925 -3.025
3.173 -4.286 6.449
! calculated total energy	-2.76	eV per atom
! symmetry	P4/mmm, No. 123

=====

! Li2SmTm2Tl2 (PBE-GGA, relaxed); values from VASP
&SYSTEM
  ibrav = 0, nat = 7, ntyp = 4
/
ATOMIC_SPECIES
Tl 204.38 Tl.upf
Tm 168.93 Tm.upf
Sm 150.36 Sm.upf
Li 6.94 Li.upf
ATOMIC_POSITIONS angstrom
Tl 2.420 1.397 1.974
Tl 7.260 4.192 6.886
Tm 7.260 4.192 3.414
Tm 2.420 1.397 5.445
Sm 0.000 0.000 0.000
Li 4.840 2.794 6.995
Li 4.840 2.794 1.864
CELL_PARAMETERS angstrom
4.840 0.000 0.000
2.420 4.192 0.000
2.420 1.397 8.859
! calculated total energy	-3.35	eV per atom
! symmetry	R-3m, No. 166

=====

no.,DOS(E_F) (states/eV per cell),total magnetization (Bohr magnetons per cell)
1,3.5,0.00
2,10.4,0.00
3,19.6,0.00
4,11.3,0.00
5,5.4,0.00
6,5.2,0.00